# 1
Here is a relaxed Er2Ga6FePd crystal from the Alexandria database. Energies are from PBE.

Cell lengths 9.3032, 9.3032, 9.3032 Å; angles 90.00, 90.00, 90.00 degrees
Space group Fm-3m (No. 225)
Inequivalent atoms, fractional coordinates:
Er  0.2500  0.2500  0.2500 x8
Ga  0.0000  0.0000  0.2428 x24
Fe  0.0000  0.0000  0.0000 x4
Pd  0.0000  0.0000  0.5000 x4

Values from the calculation:
- DOS at the Fermi energy (states/eV/cell) = 24.47
- total magnetization (μB/atom) = 0.147
- DFT formation energy (meV/atom) = -212
- final energy (eV/cell) = -172.3

---

# 2
Here is a relaxed YTiB2 crystal from the Alexandria database. Energies are from PBE.

Cell lengths 4.3005, 4.3005, 14.5511 Å; angles 90.00, 90.00, 90.00 degrees
Space group I-42d (No. 122)
Inequivalent atoms, fractional coordinates:
Y  0.0000  0.0000  0.0000 x4
Ti  0.0000  0.0000  0.5000 x4
B  0.0925  0.2500  0.6250 x8

Values from the calculation:
- DOS at the Fermi energy (states/eV/cell) = 10.78
- total magnetization (μB/atom) = 0.000
- DFT formation energy (meV/atom) = 487
- final energy (eV/cell) = -103.1
- energy above the lowest structure with this stoichiometry (eV per atom) = 0.193

---

# 3
Here is a relaxed BaNa4Bi crystal from the Alexandria database. Energies are from PBE.

Cell lengths 9.4731, 9.4731, 9.4731 Å; angles 90.00, 90.00, 90.00 degrees
Space group F-43m (No. 216)
Inequivalent atoms, fractional coordinates:
Ba  0.0000  0.0000  0.0000 x4
Na  0.1237  0.1237  0.6237 x16
Bi  0.2500  0.2500  0.2500 x4

Values from the calculation:
- DOS at the Fermi energy (states/eV/cell) = 13.63
- total magnetization (μB/atom) = 0.000
- DFT formation energy (meV/atom) = -139
- final energy (eV/cell) = -47.7

---

# 4
Here is a relaxed Li2Pr3Tl3 crystal from the Alexandria database. Energies are from PBE.

Cell lengths 4.8797, 11.0313, 16.2983 Å; angles 90.00, 90.00, 90.00 degrees
Space group Cmcm (No. 63)
Inequivalent atoms, fractional coordinates:
Li  0.0000  0.2110  0.0913 x8
Pr  0.0000  0.0941  0.6098 x8
Pr  0.0000  0.3793  0.7500 x4
Tl  0.0000  0.3266  0.2500 x4
Tl  0.0000  0.3851  0.5471 x8

Values from the calculation:
- DOS at the Fermi energy (states/eV/cell) = 26.66
- total magnetization (μB/atom) = 0.000
- DFT formation energy (meV/atom) = -292
- final energy (eV/cell) = -110.4

---

# 5
Here is a relaxed PmGdMgZr crystal from the Alexandria database. Energies are from PBE.

Cell lengths 7.6391, 7.6391, 7.6391 Å; angles 90.00, 90.00, 90.00 degrees
Space group F-43m (No. 216)
Inequivalent atoms, fractional coordinates:
Pm  0.0000  0.0000  0.0000 x4
Gd  0.0000  0.0000  0.5000 x4
Mg  0.2500  0.2500  0.7500 x4
Zr  0.2500  0.2500  0.2500 x4

Values from the calculation:
- DOS at the Fermi energy (states/eV/cell) = 23.75
- total magnetization (μB/atom) = 1.383
- DFT formation energy (meV/atom) = 140
- final energy (eV/cell) = -113.7

---

# 6
Here is a relaxed Ti2Tl2NiTe6 crystal from the Alexandria database. Energies are from PBE.

Cell lengths 6.7406, 11.9143, 8.6466 Å; angles 90.00, 106.60, 90.00 degrees
Space group C2/m (No. 12)
Inequivalent atoms, fractional coordinates:
Ti  0.0000  0.1745  0.0000 x4
Tl  0.0000  0.3307  0.5000 x4
Ni  0.0000  0.5000  0.0000 x2
Te  0.2340  0.3421  0.1917 x8
Te  0.2445  0.0000  0.1819 x4

Values from the calculation:
- DOS at the Fermi energy (states/eV/cell) = 14.83
- total magnetization (μB/atom) = 0.098
- final energy (eV/cell) = -99.4
- uncorrected formation energy (meV per atom) = -413

---

# 7
Here is a relaxed Ac4La2Nd3 crystal from the Alexandria database. Energies are from PBE.

Cell lengths 3.8468, 3.8468, 28.5273 Å; angles 90.00, 90.00, 120.00 degrees
Space group P3m1 (No. 156)
Inequivalent atoms, fractional coordinates:
Ac  0.0000  0.0000  0.0000 x1
Ac  0.0000  0.0000  0.2173 x1
Ac  0.3333  0.6667  0.3346 x1
Ac  0.3333  0.6667  0.5522 x1
La  0.0000  0.0000  0.6635 x1
La  0.0000  0.0000  0.8710 x1
Nd  0.0000  0.0000  0.4431 x1
Nd  0.3333  0.6667  0.1068 x1
Nd  0.3333  0.6667  0.7694 x1

Values from the calculation:
- DOS at the Fermi energy (states/eV/cell) = 18.22
- total magnetization (μB/atom) = 0.000
- DFT formation energy (meV/atom) = 78
- final energy (eV/cell) = -39.9
- energy above the lowest structure with this stoichiometry (eV per atom) = 0.049

---

# 8
Here is a relaxed PaPb3Se6 crystal from the Alexandria database. Energies are from PBE.

Cell lengths 12.1405, 4.1331, 12.5542 Å; angles 90.00, 104.22, 90.00 degrees
Space group P2_1/m (No. 11)
Inequivalent atoms, fractional coordinates:
Pa  0.0387  0.2500  0.1743 x2
Pb  0.1548  0.2500  0.5994 x2
Pb  0.3439  0.7500  0.0071 x2
Pb  0.4458  0.2500  0.3471 x2
Se  0.0798  0.7500  0.3448 x2
Se  0.0967  0.2500  0.9552 x2
Se  0.1760  0.7500  0.7592 x2
Se  0.2133  0.7500  0.1879 x2
Se  0.3912  0.2500  0.5791 x2
Se  0.4851  0.2500  0.1253 x2

Values from the calculation:
- DOS at the Fermi energy (states/eV/cell) = 10.13
- total magnetization (μB/atom) = 0.000
- final energy (eV/cell) = -97.5
- energy above the lowest structure with this stoichiometry (eV per atom) = 0.000
- uncorrected formation energy (meV per atom) = -723

---

# 9
Here is a relaxed ZrSi2Hg crystal from the Alexandria database. Energies are from PBE.

Cell lengths 4.0927, 4.0927, 8.7144 Å; angles 90.00, 90.00, 90.00 degrees
Space group I4/mmm (No. 139)
Inequivalent atoms, fractional coordinates:
Zr  0.0000  0.0000  0.0000 x2
Si  0.0000  0.5000  0.2500 x4
Hg  0.0000  0.0000  0.5000 x2

Values from the calculation:
- DOS at the Fermi energy (states/eV/cell) = 2.09
- total magnetization (μB/atom) = 0.000
- final energy (eV/cell) = -39.8
- energy above the lowest structure with this stoichiometry (eV per atom) = 0.063
- uncorrected formation energy (meV per atom) = -45

---

# 10
Here is a relaxed RbPuCu2S4 crystal from the Alexandria database. Energies are from PBE.

Cell lengths 6.5631, 7.7901, 8.5900 Å; angles 90.00, 90.00, 90.00 degrees
Space group I222 (No. 23)
Inequivalent atoms, fractional coordinates:
Rb  0.0000  0.0000  0.0000 x2
Pu  0.0000  0.0000  0.5000 x2
Cu  0.0000  0.5000  0.1464 x4
S  0.2451  0.1701  0.3237 x8

Values from the calculation:
- DOS at the Fermi energy (states/eV/cell) = 21.27
- total magnetization (μB/atom) = 0.372
- final energy (eV/cell) = -90.0
- uncorrected formation energy (meV per atom) = -626

---

# 11
Here is a relaxed SiOs2Pb crystal from the Alexandria database. Energies are from PBE.

Cell lengths 7.3437, 2.9904, 6.9847 Å; angles 90.00, 107.72, 90.00 degrees
Space group C2/m (No. 12)
Inequivalent atoms, fractional coordinates:
Si  0.0000  0.0000  0.0000 x2
Os  0.2400  0.0000  0.8316 x4
Pb  0.0000  0.5000  0.5000 x2

Values from the calculation:
- DOS at the Fermi energy (states/eV/cell) = 4.37
- total magnetization (μB/atom) = 0.000
- final energy (eV/cell) = -59.7
- energy above the lowest structure with this stoichiometry (eV per atom) = 0.077
- uncorrected formation energy (meV per atom) = 433

---

# 12
Here is a relaxed PmAl3PdAu crystal from the Alexandria database. Energies are from PBE.

Cell lengths 6.0903, 12.9320, 5.9575 Å; angles 90.00, 90.00, 90.00 degrees
Space group Cmcm (No. 63)
Inequivalent atoms, fractional coordinates:
Pm  0.0000  0.2069  0.2500 x4
Al  0.0000  0.3673  0.7500 x4
Al  0.2129  0.0000  0.0000 x8
Pd  0.0000  0.4186  0.2500 x4
Au  0.0000  0.1590  0.7500 x4

Values from the calculation:
- DOS at the Fermi energy (states/eV/cell) = 8.76
- total magnetization (μB/atom) = 0.000
- DFT formation energy (meV/atom) = -534
- final energy (eV/cell) = -110.6

---

# 13
Here is a relaxed Ho3Cu8Pd crystal from the Alexandria database. Energies are from PBE.

Cell lengths 5.1007, 5.1007, 25.3452 Å; angles 90.00, 90.00, 120.00 degrees
Space group R3m (No. 160, hexagonal axes)
Inequivalent atoms, fractional coordinates:
Ho  0.0000  0.0000  0.0000 x3
Ho  0.0000  0.0000  0.1303 x3
Ho  0.0000  0.0000  0.6093 x3
Cu  0.0000  0.0000  0.3078 x3
Cu  0.0000  0.0000  0.8085 x3
Cu  0.0001  0.5000  0.0595 x9
Cu  0.0071  0.5035  0.5579 x9
Pd  0.0000  0.0000  0.4915 x3

Values from the calculation:
- DOS at the Fermi energy (states/eV/cell) = 28.09
- total magnetization (μB/atom) = 0.000
- DFT formation energy (meV/atom) = -271
- final energy (eV/cell) = -164.8
- energy above the lowest structure with this stoichiometry (eV per atom) = 0.012

---

# 14
Here is a relaxed Cu2AsPb2 crystal from the Alexandria database. Energies are from PBE.

Cell lengths 6.9006, 6.9006, 4.4182 Å; angles 90.00, 90.00, 90.00 degrees
Space group P4/mbm (No. 127)
Inequivalent atoms, fractional coordinates:
Cu  0.1294  0.3706  0.0000 x4
As  0.0000  0.0000  0.0000 x2
Pb  0.1731  0.6731  0.5000 x4

Values from the calculation:
- DOS at the Fermi energy (states/eV/cell) = 3.93
- total magnetization (μB/atom) = 0.000
- DFT formation energy (meV/atom) = 168
- final energy (eV/cell) = -38.8
- energy above the lowest structure with this stoichiometry (eV per atom) = 0.000

---

# 15
Here is a relaxed NiRu4Se crystal from the Alexandria database. Energies are from PBE.

Cell lengths 7.2270, 7.2270, 7.2270 Å; angles 90.00, 90.00, 90.00 degrees
Space group F-43m (No. 216)
Inequivalent atoms, fractional coordinates:
Ni  0.0000  0.0000  0.0000 x4
Ru  0.1254  0.1254  0.6254 x16
Se  0.2500  0.2500  0.2500 x4

Values from the calculation:
- DOS at the Fermi energy (states/eV/cell) = 42.47
- total magnetization (μB/atom) = 0.580
- final energy (eV/cell) = -164.9
- uncorrected formation energy (meV per atom) = 855

---

# 16
Here is a relaxed As2HBr crystal from the Alexandria database. Energies are from PBE.

Cell lengths 6.6359, 6.6359, 6.6359 Å; angles 90.00, 90.00, 90.00 degrees
Space group Fm-3m (No. 225)
Inequivalent atoms, fractional coordinates:
As  0.2500  0.2500  0.2500 x8
H  0.0000  0.0000  0.0000 x4
Br  0.0000  0.0000  0.5000 x4

Values from the calculation:
- DOS at the Fermi energy (states/eV/cell) = 6.92
- total magnetization (μB/atom) = 0.000
- final energy (eV/cell) = -40.6
- energy above the lowest structure with this stoichiometry (eV per atom) = 0.431

---

# 17
Here is a relaxed SrSb crystal from the Alexandria database. Energies are from PBE.

Cell lengths 6.4117, 6.7986, 12.8908 Å; angles 90.00, 90.00, 90.00 degrees
Space group P2_12_12_1 (No. 19)
Inequivalent atoms, fractional coordinates:
Sr  0.1019  0.0602  0.4705 x4
Sr  0.1858  0.6149  0.7143 x4
Sb  0.0975  0.5604  0.4477 x4
Sb  0.1811  0.8883  0.2101 x4

Values from the calculation:
- total magnetization (μB/atom) = 0.000
- final energy (eV/cell) = -60.2
- uncorrected formation energy (meV per atom) = -863

---

# 18
Here is a relaxed LaMnPd3 crystal from the Alexandria database. Energies are from PBE.

Cell lengths 4.6862, 4.6862, 4.6862 Å; angles 90.00, 90.00, 90.00 degrees
Space group Pm-3m (No. 221)
Inequivalent atoms, fractional coordinates:
La  0.0000  0.0000  0.0000 x1
Mn  0.5000  0.5000  0.5000 x1
Pd  0.0000  0.5000  0.5000 x3

Values from the calculation:
- DOS at the Fermi energy (states/eV/cell) = 5.64
- total magnetization (μB/atom) = 0.000
- DFT formation energy (meV/atom) = 90
- final energy (eV/cell) = -29.2
- energy above the lowest structure with this stoichiometry (eV per atom) = 0.000

---

# 19
Here is a relaxed K3MnOs crystal from the Alexandria database. Energies are from PBE.

Cell lengths 6.2030, 6.2030, 6.2030 Å; angles 90.00, 90.00, 90.00 degrees
Space group Pm-3m (No. 221)
Inequivalent atoms, fractional coordinates:
K  0.0000  0.0000  0.5000 x3
Mn  0.5000  0.5000  0.5000 x1
Os  0.0000  0.0000  0.0000 x1

Values from the calculation:
- DOS at the Fermi energy (states/eV/cell) = 9.56
- total magnetization (μB/atom) = 1.234
- DFT formation energy (meV/atom) = 1640
- final energy (eV/cell) = -15.5
- energy above the lowest structure with this stoichiometry (eV per atom) = 0.000

---

# 20
Here is a relaxed Ca2TlAg crystal from the Alexandria database. Energies are from PBE.

Cell lengths 3.9805, 3.9805, 26.9481 Å; angles 90.00, 90.00, 120.00 degrees
Space group R-3m (No. 166, hexagonal axes)
Inequivalent atoms, fractional coordinates:
Ca  0.0000  0.0000  0.2430 x6
Tl  0.0000  0.0000  0.0000 x3
Ag  0.0000  0.0000  0.5000 x3

Values from the calculation:
- DOS at the Fermi energy (states/eV/cell) = 5.93
- total magnetization (μB/atom) = 0.000
- DFT formation energy (meV/atom) = -220
- final energy (eV/cell) = -30.3

---

# 21
Here is a relaxed La2Y2In crystal from the Alexandria database. Energies are from PBE.

Cell lengths 5.6552, 5.6552, 17.8357 Å; angles 90.00, 90.00, 120.00 degrees
Space group R-3m (No. 166, hexagonal axes)
Inequivalent atoms, fractional coordinates:
La  0.0000  0.0000  0.1045 x6
Y  0.0000  0.0000  0.3187 x6
In  0.0000  0.0000  0.5000 x3

Values from the calculation:
- DOS at the Fermi energy (states/eV/cell) = 14.80
- total magnetization (μB/atom) = 0.000
- DFT formation energy (meV/atom) = -186
- final energy (eV/cell) = -79.4
- energy above the lowest structure with this stoichiometry (eV per atom) = 0.000

---

# 22
Here is a relaxed LiCo2Ag crystal from the Alexandria database. Energies are from PBE.

Cell lengths 3.4175, 3.4175, 18.8755 Å; angles 90.00, 90.00, 90.00 degrees
Space group I-42d (No. 122)
Inequivalent atoms, fractional coordinates:
Li  0.0000  0.0000  0.0000 x4
Co  0.2404  0.2500  0.1250 x8
Ag  0.0000  0.0000  0.5000 x4

Values from the calculation:
- DOS at the Fermi energy (states/eV/cell) = 12.55
- total magnetization (μB/atom) = 0.861
- DFT formation energy (meV/atom) = 431
- final energy (eV/cell) = -69.0

---

# 23
Here is a relaxed BiMo3I crystal from the Alexandria database. Energies are from PBE.

Cell lengths 4.9481, 4.9481, 4.9481 Å; angles 90.00, 90.00, 90.00 degrees
Space group Pm-3m (No. 221)
Inequivalent atoms, fractional coordinates:
Bi  0.0000  0.0000  0.0000 x1
Mo  0.0000  0.5000  0.5000 x3
I  0.5000  0.5000  0.5000 x1

Values from the calculation:
- DOS at the Fermi energy (states/eV/cell) = 6.59
- total magnetization (μB/atom) = 0.403
- final energy (eV/cell) = -28.3
- energy above the lowest structure with this stoichiometry (eV per atom) = 0.000
- uncorrected formation energy (meV per atom) = 1922

---

# 24
Here is a relaxed HoEr2Cu6 crystal from the Alexandria database. Energies are from PBE.

Cell lengths 7.3098, 7.3098, 3.5056 Å; angles 90.00, 90.00, 120.00 degrees
Space group P6/mmm (No. 191)
Inequivalent atoms, fractional coordinates:
Ho  0.0000  0.0000  0.0000 x1
Er  0.3333  0.6667  0.0000 x2
Cu  0.0000  0.3336  0.5000 x6

Values from the calculation:
- DOS at the Fermi energy (states/eV/cell) = 4.80
- total magnetization (μB/atom) = 0.000
- DFT formation energy (meV/atom) = -264
- final energy (eV/cell) = -40.7